# SrTlCr2O8

A geometry-optimized SrTlCr2O8 structure (PBE+U, the Alexandria database).

a = 7.8718 Å, b = 7.8718 Å, c = 7.8718 Å
α = 39.45°, β = 39.45°, γ = 39.45°
Fractional coordinates of all 12 atoms:
Sr 0.0000 0.0000 0.0000
Tl 0.5000 0.5000 0.5000
Cr 0.2567 0.2567 0.2567
Cr 0.7433 0.7433 0.7433
O 0.0435 0.4474 0.8094
O 0.1906 0.9565 0.5526
O 0.3326 0.3326 0.3326
O 0.4474 0.8094 0.0435
O 0.5526 0.1906 0.9565
O 0.6674 0.6674 0.6674
O 0.8094 0.0435 0.4474
O 0.9565 0.5526 0.1906

Output
total magnetization = 0.0 μB per cell
electronic total energy = -75.788 eV for the cell shown